1.
This record from the Alexandria database describes a relaxed structure of LiTb2Pm. The functional is PBE.

Results
Its space group is P4/mmm, No. 123.

a = 3.6641 Å, b = 3.6641 Å, c = 8.7912 Å
α = 90.00°, β = 90.00°, γ = 90.00°
With the nearest neighbours (Å) after each atom.
Element x y z (fractional)
Li (0.0000, 0.0000, 0.0000)  8 Tb 3.22
Tb (0.5000, 0.5000, 0.2174)  4 Li 3.22, 4 Pm 3.59
Tb (0.5000, 0.5000, 0.7826)  4 Li 3.22, 4 Pm 3.59
Pm (0.0000, 0.0000, 0.5000)  8 Tb 3.59, 4 Pm 3.66



2.
This record from the Alexandria database describes a relaxed structure of Li2TbPm. The functional is PBE.

Results
Its space group is P4/mmm, No. 123.

a = 3.7581 Å, b = 3.7581 Å, c = 7.5475 Å
α = 90.00°, β = 90.00°, γ = 90.00°
With the nearest neighbours (Å) after each atom.
Element x y z (fractional)
Li (0.0000, 0.0000, 0.2463)  4 Tb 3.24, 4 Pm 3.28
Li (0.0000, 0.0000, 0.7537)  4 Tb 3.24, 4 Pm 3.28
Tb (0.5000, 0.5000, 0.0000)  8 Li 3.24
Pm (0.5000, 0.5000, 0.5000)  8 Li 3.28



3.
This record from the Alexandria database describes a relaxed structure of Li4TbPm. The functional is PBE.

Results
Its space group is F-43m, No. 216.

a = 5.8891 Å, b = 5.8891 Å, c = 5.8891 Å
α = 60.00°, β = 60.00°, γ = 60.00°
With the nearest neighbours (Å) after each atom.
Element x y z (fractional)
Li (0.1253, 0.1253, 0.1253)  6 Li 2.94-2.95
Li (0.1253, 0.1253, 0.6242)  6 Li 2.94-2.95
Li (0.1253, 0.6242, 0.1253)  6 Li 2.94-2.95
Li (0.6242, 0.1253, 0.1253)  6 Li 2.94-2.95
Tb (0.5000, 0.5000, 0.5000)  12 Li 3.45, 4 Pm 3.61
Pm (0.7500, 0.7500, 0.7500)  12 Li 3.45, 4 Tb 3.61



4.
This record from the Alexandria database describes a relaxed structure of Li2TbPm. The functional is PBE.

Results
Its space group is P4/mmm, No. 123.

a = 5.3163 Å, b = 5.3163 Å, c = 3.7726 Å
α = 90.00°, β = 90.00°, γ = 90.00°
With the nearest neighbours (Å) after each atom.
Element x y z (fractional)
Li (0.0000, 0.5000, 0.0000)  4 Tb 3.26, 4 Pm 3.26
Li (0.5000, 0.0000, 0.0000)  4 Tb 3.26, 4 Pm 3.26
Tb (0.0000, 0.0000, 0.5000)  8 Li 3.26
Pm (0.5000, 0.5000, 0.5000)  8 Li 3.26



5.
This record from the Alexandria database describes a relaxed structure of Li2TbPm. The functional is PBE.

Results
Its space group is Fm-3m, No. 225.

a = 5.3228 Å, b = 5.3228 Å, c = 5.3228 Å
α = 60.00°, β = 60.00°, γ = 60.00°
With the nearest neighbours (Å) after each atom.
Element x y z (fractional)
Li (0.2500, 0.2500, 0.2500)  4 Tb 3.26, 4 Pm 3.26
Li (0.7500, 0.7500, 0.7500)  4 Tb 3.26, 4 Pm 3.26
Tb (0.0000, 0.0000, 0.0000)  8 Li 3.26
Pm (0.5000, 0.5000, 0.5000)  8 Li 3.26



6.
This record from the Alexandria database describes a relaxed structure of LiTbPm2. The functional is PBE.

Results
Its space group is Fm-3m, No. 225.

a = 5.5732 Å, b = 5.5732 Å, c = 5.5732 Å
α = 60.00°, β = 60.00°, γ = 60.00°
With the nearest neighbours (Å) after each atom.
Element x y z (fractional)
Li (0.0000, 0.0000, 0.0000)  8 Pm 3.41
Tb (0.5000, 0.5000, 0.5000)  8 Pm 3.41
Pm (0.2500, 0.2500, 0.2500)  4 Tb 3.41, 4 Li 3.41
Pm (0.7500, 0.7500, 0.7500)  4 Tb 3.41, 4 Li 3.41



7.
This record from the Alexandria database describes a relaxed structure of LiTbPm2. The functional is PBE.

Results
Its space group is P3m1, No. 156.

a = 3.5381 Å, b = 3.5381 Å, c = 11.8752 Å
α = 90.00°, β = 90.00°, γ = 120.00°
With the nearest neighbours (Å) after each atom.
Element x y z (fractional)
Li (0.0000, 0.0000, 0.0000)  4 Pm 3.25-3.49, 6 Li 3.54
Tb (0.3333, 0.6667, 0.4847)  6 Pm 3.52-3.56, 6 Tb 3.54
Pm (0.0000, 0.0000, 0.7263)  1 Li 3.25, 3 Tb 3.52, 6 Pm 3.54
Pm (0.6667, 0.3333, 0.2386)  3 Li 3.49, 6 Pm 3.54, 3 Tb 3.56



8.
This record from the Alexandria database describes a relaxed structure of LiTbPm2. The functional is PBE.

Results
Its space group is R3m, No. 160.

a = 11.6032 Å, b = 11.6032 Å, c = 11.6032 Å
α = 17.64°, β = 17.64°, γ = 17.64°
With the nearest neighbours (Å) after each atom.
Element x y z (fractional)
Li (0.0000, 0.0000, 0.0000)  6 Pm 3.48, 6 Li 3.56
Tb (0.8332, 0.8332, 0.8332)  6 Pm 3.55-3.56, 6 Tb 3.56
Pm (0.2514, 0.2514, 0.2514)  3 Li 3.48, 6 Pm 3.56, 3 Tb 3.56
Pm (0.4153, 0.4153, 0.4153)  3 Li 3.48, 3 Tb 3.55, 6 Pm 3.56



Number 1: D(E_F) 5.765 states/eV/f.u., E_form 0.074 eV/atom. Number 2: D(E_F) 5.078 states/eV/f.u., E_form 0.154 eV/atom. Number 3: D(E_F) 5.095 states/eV/f.u., E_form 0.110 eV/atom. Number 4: D(E_F) 5.531 states/eV/f.u., E_form 0.157 eV/atom. Number 5: D(E_F) 5.370 states/eV/f.u., E_form 0.156 eV/atom. Number 6: D(E_F) 4.332 states/eV/f.u., E_form 0.169 eV/atom. Number 7: D(E_F) 3.997 states/eV/f.u., E_form 0.121 eV/atom. Number 8: D(E_F) 3.311 states/eV/f.u., E_form 0.075 eV/atom.